Entry 1:
{
  "formula": "CsAcCu2Cl6",
  "functional": "GGA-PBE",
  "state": "optimized geometry",
  "dos_ef_per_ev_atom": 0.000,
  "mass_density_g_cm3": 3.60,
  "cell": [[5.249, -7.064, 0.000], [5.249, 7.064, 0.000], [-2.879, 0.000, 8.698]],
  "species": ["Cs", "Cs", "Ac", "Ac", "Cu", "Cu", "Cu", "Cu", "Cl", "Cl", "Cl", "Cl", "Cl", "Cl", "Cl", "Cl", "Cl", "Cl", "Cl", "Cl"],
  "fractional_positions": [[0.141, 0.859, 0.750], [0.859, 0.141, 0.250], [0.439, 0.561, 0.250], [0.561, 0.439, 0.750], [0.096, 0.366, 0.719], [0.366, 0.096, 0.219], [0.634, 0.904, 0.781], [0.904, 0.634, 0.281], [0.093, 0.536, 0.235], [0.206, 0.216, 0.591], [0.216, 0.206, 0.091], [0.347, 0.573, 0.923], [0.427, 0.653, 0.577], [0.464, 0.907, 0.265], [0.536, 0.093, 0.735], [0.573, 0.347, 0.423], [0.653, 0.427, 0.077], [0.784, 0.794, 0.909], [0.794, 0.784, 0.409], [0.907, 0.464, 0.765]]
}

=====

Entry 2:
{
  "formula": "Cs2AcCl3F3",
  "functional": "GGA-PBE",
  "state": "optimized geometry",
  "dos_ef_per_ev_atom": 1.026,
  "mass_density_g_cm3": 4.15,
  "cell": [[8.805, 0.000, 0.000], [-4.403, 7.626, 0.000], [0.000, 0.000, 3.910]],
  "species": ["Cs", "Cs", "Ac", "Cl", "Cl", "Cl", "F", "F", "F"],
  "fractional_positions": [[0.333, 0.667, 0.000], [0.667, 0.333, 0.000], [0.000, 0.000, 0.500], [0.000, 0.362, 0.500], [0.362, 0.000, 0.500], [0.638, 0.638, 0.500], [0.000, 0.815, 0.000], [0.185, 0.185, 0.000], [0.815, 0.000, 0.000]]
}

=====

Entry 3:
{
  "formula": "CsAcGe2Cl8",
  "functional": "GGA-PBE",
  "state": "optimized geometry",
  "dos_ef_per_ev_atom": 0.000,
  "mass_density_g_cm3": 2.83,
  "cell": [[6.511, 0.000, 0.000], [0.639, 7.027, 0.000], [0.170, 0.650, 10.114]],
  "species": ["Cs", "Ac", "Ge", "Ge", "Cl", "Cl", "Cl", "Cl", "Cl", "Cl", "Cl", "Cl"],
  "fractional_positions": [[0.000, 0.000, 0.000], [0.000, 0.000, 0.500], [0.458, 0.460, 0.281], [0.542, 0.540, 0.719], [0.223, 0.806, 0.296], [0.253, 0.328, 0.463], [0.272, 0.376, 0.108], [0.275, 0.857, 0.712], [0.725, 0.143, 0.288], [0.728, 0.624, 0.892], [0.747, 0.672, 0.537], [0.777, 0.194, 0.704]]
}

=====

Entry 4:
{
  "formula": "Cs2AcHgCl6",
  "functional": "GGA-PBE",
  "state": "optimized geometry",
  "dos_ef_per_ev_atom": 0.481,
  "mass_density_g_cm3": 3.78,
  "cell": [[8.223, 0.000, 0.000], [0.000, 11.631, 0.000], [0.000, 0.000, 8.315]],
  "species": ["Cs", "Cs", "Cs", "Cs", "Ac", "Ac", "Hg", "Hg", "Cl", "Cl", "Cl", "Cl", "Cl", "Cl", "Cl", "Cl", "Cl", "Cl", "Cl", "Cl"],
  "fractional_positions": [[0.250, 0.017, 0.214], [0.250, 0.483, 0.214], [0.750, 0.517, 0.786], [0.750, 0.983, 0.786], [0.250, 0.250, 0.732], [0.750, 0.750, 0.268], [0.250, 0.750, 0.759], [0.750, 0.250, 0.241], [0.001, 0.250, 0.974], [0.020, 0.250, 0.475], [0.250, 0.006, 0.768], [0.250, 0.494, 0.768], [0.480, 0.250, 0.475], [0.499, 0.250, 0.974], [0.501, 0.750, 0.026], [0.520, 0.750, 0.525], [0.750, 0.506, 0.232], [0.750, 0.994, 0.232], [0.980, 0.750, 0.525], [0.999, 0.750, 0.026]]
}

=====

Entry 5:
{
  "formula": "CsAcHg2Cl8",
  "functional": "GGA-PBE",
  "state": "optimized geometry",
  "dos_ef_per_ev_atom": 0.000,
  "mass_density_g_cm3": 4.04,
  "cell": [[6.864, -2.784, 0.000], [6.864, 2.784, 0.000], [-0.054, 0.000, 11.231]],
  "species": ["Cs", "Ac", "Hg", "Hg", "Cl", "Cl", "Cl", "Cl", "Cl", "Cl", "Cl", "Cl"],
  "fractional_positions": [[0.000, 0.000, 0.000], [0.000, 0.000, 0.500], [0.318, 0.318, 0.267], [0.682, 0.682, 0.733], [0.126, 0.126, 0.294], [0.136, 0.136, 0.703], [0.350, 0.350, 0.057], [0.382, 0.382, 0.480], [0.618, 0.618, 0.520], [0.650, 0.650, 0.943], [0.864, 0.864, 0.297], [0.874, 0.874, 0.706]]
}

=====

Entry 6:
{
  "formula": "Cs2AcI3Cl3",
  "functional": "GGA-PBE",
  "state": "optimized geometry",
  "dos_ef_per_ev_atom": 0.687,
  "mass_density_g_cm3": 4.29,
  "cell": [[10.025, 0.000, 0.000], [-5.012, 8.682, 0.000], [0.000, 0.000, 4.359]],
  "species": ["Cs", "Cs", "Ac", "I", "I", "I", "Cl", "Cl", "Cl"],
  "fractional_positions": [[0.333, 0.667, 0.000], [0.667, 0.333, 0.000], [0.000, 0.000, 0.500], [0.000, 0.366, 0.500], [0.366, 0.000, 0.500], [0.634, 0.634, 0.500], [0.000, 0.794, 0.000], [0.206, 0.206, 0.000], [0.794, 0.000, 0.000]]
}

=====

Entry 7:
{
  "formula": "Cs2AcInCl6",
  "functional": "GGA-PBE",
  "state": "optimized geometry",
  "dos_ef_per_ev_atom": 0.000,
  "mass_density_g_cm3": 3.39,
  "cell": [[8.118, 0.000, 0.000], [0.000, 8.514, 0.000], [-7.927, 0.000, 11.614]],
  "species": ["Cs", "Cs", "Cs", "Cs", "Ac", "Ac", "In", "In", "Cl", "Cl", "Cl", "Cl", "Cl", "Cl", "Cl", "Cl", "Cl", "Cl", "Cl", "Cl"],
  "fractional_positions": [[0.226, 0.064, 0.248], [0.226, 0.436, 0.748], [0.774, 0.564, 0.252], [0.774, 0.936, 0.752], [0.500, 0.000, 0.000], [0.500, 0.500, 0.500], [0.000, 0.000, 0.500], [0.000, 0.500, 0.000], [0.166, 0.190, 0.952], [0.166, 0.310, 0.452], [0.258, 0.721, 0.944], [0.258, 0.779, 0.444], [0.364, 0.037, 0.762], [0.364, 0.463, 0.262], [0.636, 0.537, 0.738], [0.636, 0.963, 0.238], [0.742, 0.221, 0.556], [0.742, 0.279, 0.056], [0.834, 0.690, 0.548], [0.834, 0.810, 0.048]]
}

=====

Entry 8:
{
  "formula": "CsAcIn2Cl6",
  "functional": "GGA-PBE",
  "state": "optimized geometry",
  "dos_ef_per_ev_atom": 0.000,
  "mass_density_g_cm3": 3.30,
  "cell": [[4.068, 2.349, 7.038], [-4.068, 2.349, 7.038], [0.000, -4.698, 7.038]],
  "species": ["Cs", "Ac", "In", "In", "Cl", "Cl", "Cl", "Cl", "Cl", "Cl"],
  "fractional_positions": [[0.000, 0.000, 0.000], [0.486, 0.486, 0.486], [0.284, 0.284, 0.284], [0.792, 0.792, 0.792], [0.111, 0.642, 0.427], [0.227, 0.582, 0.845], [0.427, 0.111, 0.642], [0.582, 0.845, 0.227], [0.642, 0.427, 0.111], [0.845, 0.227, 0.582]]
}

=====

Entry 9:
{
  "formula": "Cs2KAcCl6",
  "functional": "GGA-PBE",
  "state": "optimized geometry",
  "dos_ef_per_ev_atom": 0.000,
  "mass_density_g_cm3": 3.11,
  "cell": [[8.115, 0.000, 0.000], [0.000, 8.443, 0.000], [-7.953, 0.000, 11.596]],
  "species": ["Cs", "Cs", "Cs", "Cs", "K", "K", "Ac", "Ac", "Cl", "Cl", "Cl", "Cl", "Cl", "Cl", "Cl", "Cl", "Cl", "Cl", "Cl", "Cl"],
  "fractional_positions": [[0.227, 0.059, 0.247], [0.227, 0.441, 0.747], [0.773, 0.559, 0.253], [0.773, 0.941, 0.753], [0.000, 0.000, 0.500], [0.000, 0.500, 0.000], [0.500, 0.000, 0.000], [0.500, 0.500, 0.500], [0.170, 0.194, 0.954], [0.170, 0.306, 0.454], [0.255, 0.721, 0.946], [0.255, 0.779, 0.446], [0.358, 0.035, 0.761], [0.358, 0.465, 0.261], [0.642, 0.535, 0.739], [0.642, 0.965, 0.239], [0.745, 0.221, 0.554], [0.745, 0.279, 0.054], [0.830, 0.694, 0.546], [0.830, 0.806, 0.046]]
}

=====

Entry 10:
{
  "formula": "Cs2LiAcCl6",
  "functional": "GGA-PBE",
  "state": "optimized geometry",
  "dos_ef_per_ev_atom": 0.000,
  "mass_density_g_cm3": 3.56,
  "cell": [[7.780, 0.000, 0.000], [0.000, 7.770, 0.000], [-7.764, 0.000, 11.001]],
  "species": ["Cs", "Cs", "Cs", "Cs", "Li", "Li", "Ac", "Ac", "Cl", "Cl", "Cl", "Cl", "Cl", "Cl", "Cl", "Cl", "Cl", "Cl", "Cl", "Cl"],
  "fractional_positions": [[0.248, 0.008, 0.250], [0.248, 0.492, 0.750], [0.752, 0.508, 0.250], [0.752, 0.992, 0.750], [0.000, 0.000, 0.500], [0.000, 0.500, 0.000], [0.500, 0.000, 0.000], [0.500, 0.500, 0.500], [0.212, 0.245, 0.987], [0.212, 0.255, 0.487], [0.242, 0.725, 0.988], [0.242, 0.775, 0.488], [0.265, 0.001, 0.740], [0.265, 0.499, 0.240], [0.735, 0.501, 0.760], [0.735, 0.999, 0.260], [0.758, 0.225, 0.512], [0.758, 0.275, 0.012], [0.788, 0.745, 0.513], [0.788, 0.755, 0.013]]
}

=====

Entry 11:
{
  "formula": "CsLiAcCl5",
  "functional": "GGA-PBE",
  "state": "optimized geometry",
  "dos_ef_per_ev_atom": 0.000,
  "mass_density_g_cm3": 2.98,
  "cell": [[4.752, -6.422, 0.000], [4.752, 6.422, 0.000], [-4.301, 0.000, 9.920]],
  "species": ["Cs", "Cs", "Li", "Li", "Ac", "Ac", "Cl", "Cl", "Cl", "Cl", "Cl", "Cl", "Cl", "Cl", "Cl", "Cl"],
  "fractional_positions": [[0.154, 0.846, 0.750], [0.846, 0.154, 0.250], [0.191, 0.809, 0.250], [0.809, 0.191, 0.750], [0.500, 0.500, 0.000], [0.500, 0.500, 0.500], [0.116, 0.259, 0.910], [0.197, 0.604, 0.385], [0.259, 0.116, 0.410], [0.396, 0.803, 0.115], [0.420, 0.580, 0.750], [0.580, 0.420, 0.250], [0.604, 0.197, 0.885], [0.741, 0.884, 0.590], [0.803, 0.396, 0.615], [0.884, 0.741, 0.090]]
}

=====

Entry 12:
{
  "formula": "CsAcMn2Cl8",
  "functional": "GGA-PBE",
  "state": "optimized geometry",
  "dos_ef_per_ev_atom": 0.000,
  "mass_density_g_cm3": 3.04,
  "cell": [[3.335, 1.926, 10.666], [-3.335, 1.926, 10.666], [0.000, -3.851, 10.666]],
  "species": ["Cs", "Ac", "Mn", "Mn", "Cl", "Cl", "Cl", "Cl", "Cl", "Cl", "Cl", "Cl"],
  "fractional_positions": [[0.000, 0.000, 0.000], [0.500, 0.500, 0.500], [0.251, 0.251, 0.251], [0.749, 0.749, 0.749], [0.107, 0.439, 0.781], [0.219, 0.561, 0.893], [0.322, 0.322, 0.322], [0.439, 0.781, 0.107], [0.561, 0.893, 0.219], [0.678, 0.678, 0.678], [0.781, 0.107, 0.439], [0.893, 0.219, 0.561]]
}

=====

Entry 13:
{
  "formula": "CsAcMnCl6",
  "functional": "GGA-PBE",
  "state": "optimized geometry",
  "dos_ef_per_ev_atom": 0.000,
  "mass_density_g_cm3": 3.62,
  "cell": [[-4.625, 4.829, 6.451], [4.625, -4.829, 6.451], [4.625, 4.829, -6.451]],
  "species": ["Cs", "Cs", "Ac", "Ac", "Mn", "Mn", "Cl", "Cl", "Cl", "Cl", "Cl", "Cl", "Cl", "Cl", "Cl", "Cl", "Cl", "Cl"],
  "fractional_positions": [[0.325, 0.075, 0.250], [0.675, 0.925, 0.750], [0.000, 0.500, 0.500], [0.500, 0.500, 0.000], [0.000, 0.000, 0.500], [0.000, 0.500, 0.000], [0.057, 0.337, 0.160], [0.057, 0.897, 0.720], [0.086, 0.336, 0.750], [0.323, 0.103, 0.660], [0.323, 0.663, 0.220], [0.377, 0.627, 0.750], [0.623, 0.373, 0.250], [0.677, 0.337, 0.780], [0.677, 0.897, 0.340], [0.914, 0.664, 0.250], [0.943, 0.103, 0.280], [0.943, 0.663, 0.840]]
}

=====

Entry 14:
{
  "formula": "CsNa2AcCl6",
  "functional": "GGA-PBE",
  "state": "optimized geometry",
  "dos_ef_per_ev_atom": 0.000,
  "mass_density_g_cm3": 3.11,
  "cell": [[3.755, 2.168, 6.754], [-3.755, 2.168, 6.754], [0.000, -4.336, 6.754]],
  "species": ["Cs", "Na", "Na", "Ac", "Cl", "Cl", "Cl", "Cl", "Cl", "Cl"],
  "fractional_positions": [[0.000, 0.000, 0.000], [0.271, 0.271, 0.271], [0.784, 0.784, 0.784], [0.473, 0.473, 0.473], [0.059, 0.591, 0.472], [0.181, 0.536, 0.882], [0.472, 0.059, 0.591], [0.536, 0.882, 0.181], [0.591, 0.472, 0.059], [0.882, 0.181, 0.536]]
}

=====

Entry 15:
{
  "formula": "CsNaAc2Cl8",
  "functional": "GGA-PBE",
  "state": "optimized geometry",
  "dos_ef_per_ev_atom": 0.000,
  "mass_density_g_cm3": 3.79,
  "cell": [[5.053, 0.000, 0.000], [0.016, 7.800, 0.000], [0.002, 0.872, 9.931]],
  "species": ["Cs", "Na", "Ac", "Ac", "Cl", "Cl", "Cl", "Cl", "Cl", "Cl", "Cl", "Cl"],
  "fractional_positions": [[0.000, 0.000, 0.000], [0.000, 0.000, 0.500], [0.500, 0.471, 0.257], [0.500, 0.529, 0.743], [0.000, 0.330, 0.750], [0.000, 0.670, 0.250], [0.001, 0.235, 0.276], [0.499, 0.732, 0.476], [0.500, 0.289, 0.007], [0.500, 0.711, 0.993], [0.501, 0.268, 0.524], [0.999, 0.765, 0.724]]
}

=====

Entry 16:
{
  "formula": "Cs2NaAcCl6",
  "functional": "GGA-PBE",
  "state": "optimized geometry",
  "dos_ef_per_ev_atom": 0.000,
  "mass_density_g_cm3": 3.36,
  "cell": [[7.940, 0.000, 0.000], [0.000, 8.043, 0.000], [-7.880, 0.000, 11.283]],
  "species": ["Cs", "Cs", "Cs", "Cs", "Na", "Na", "Ac", "Ac", "Cl", "Cl", "Cl", "Cl", "Cl", "Cl", "Cl", "Cl", "Cl", "Cl", "Cl", "Cl"],
  "fractional_positions": [[0.239, 0.038, 0.249], [0.239, 0.462, 0.749], [0.761, 0.538, 0.251], [0.761, 0.962, 0.751], [0.000, 0.000, 0.500], [0.000, 0.500, 0.000], [0.500, 0.000, 0.000], [0.500, 0.500, 0.500], [0.182, 0.215, 0.968], [0.182, 0.285, 0.468], [0.253, 0.715, 0.968], [0.253, 0.785, 0.468], [0.310, 0.013, 0.749], [0.310, 0.487, 0.249], [0.690, 0.513, 0.751], [0.690, 0.987, 0.251], [0.747, 0.215, 0.532], [0.747, 0.285, 0.032], [0.818, 0.715, 0.532], [0.818, 0.785, 0.032]]
}

=====

Entry 17:
{
  "formula": "CsRb2AcCl6",
  "functional": "GGA-PBE",
  "state": "optimized geometry",
  "dos_ef_per_ev_atom": 0.000,
  "mass_density_g_cm3": 3.04,
  "cell": [[8.144, 0.000, 0.000], [0.000, 8.592, 0.000], [-7.950, 0.000, 11.623]],
  "species": ["Cs", "Cs", "Rb", "Rb", "Rb", "Rb", "Ac", "Ac", "Cl", "Cl", "Cl", "Cl", "Cl", "Cl", "Cl", "Cl", "Cl", "Cl", "Cl", "Cl"],
  "fractional_positions": [[0.000, 0.000, 0.000], [0.000, 0.500, 0.500], [0.213, 0.069, 0.743], [0.213, 0.431, 0.243], [0.787, 0.569, 0.757], [0.787, 0.931, 0.257], [0.500, 0.000, 0.500], [0.500, 0.500, 0.000], [0.152, 0.180, 0.431], [0.152, 0.320, 0.931], [0.243, 0.728, 0.409], [0.243, 0.772, 0.909], [0.427, 0.077, 0.279], [0.427, 0.423, 0.779], [0.573, 0.577, 0.221], [0.573, 0.923, 0.721], [0.757, 0.228, 0.091], [0.757, 0.272, 0.591], [0.848, 0.680, 0.069], [0.848, 0.820, 0.569]]
}

=====

Entry 18:
{
  "formula": "CsAcSCl2",
  "functional": "GGA-PBE",
  "state": "optimized geometry",
  "dos_ef_per_ev_atom": 0.000,
  "mass_density_g_cm3": 3.91,
  "cell": [[5.862, 0.000, 0.000], [0.000, 5.862, 0.000], [0.000, 0.000, 5.715]],
  "species": ["Cs", "Ac", "S", "Cl", "Cl"],
  "fractional_positions": [[0.000, 0.000, 0.000], [0.500, 0.500, 0.500], [0.500, 0.500, 0.000], [0.000, 0.500, 0.500], [0.500, 0.000, 0.500]]
}

=====

Entry 19:
{
  "formula": "Cs2AcSe2Cl2",
  "functional": "GGA-PBE",
  "state": "optimized geometry",
  "dos_ef_per_ev_atom": 1.081,
  "mass_density_g_cm3": 3.78,
  "cell": [[-2.975, 2.975, 8.953], [2.975, -2.975, 8.953], [2.975, 2.975, -8.953]],
  "species": ["Cs", "Cs", "Ac", "Se", "Se", "Cl", "Cl"],
  "fractional_positions": [[0.145, 0.145, 0.000], [0.855, 0.855, 0.000], [0.500, 0.500, 0.000], [0.000, 0.500, 0.500], [0.500, 0.000, 0.500], [0.337, 0.337, 0.000], [0.663, 0.663, 0.000]]
}

=====

no.,energy (eV per atom)
1,-3.97
2,-4.41
3,-3.94
4,-3.50
5,-3.12
6,-3.43
7,-3.92
8,-3.85
9,-4.00
10,-4.02
11,-4.18
12,-4.84
13,-4.67
14,-3.96
15,-4.35
16,-3.98
17,-3.97
18,-4.61
19,-4.02